Record 1
Mg2SnB2Ir5 after structural relaxation, computed with GGA-PBE.

Cell lengths 9.693, 9.693, 2.985 Å; angles 90.00, 90.00, 90.00 degrees
Positions (direct):
Ir (0.428, 0.722, 0.500)
Ir (0.500, 0.000, 0.500)
B (0.878, 0.622, 0.000)
B (0.122, 0.378, 0.000)
Ir (0.928, 0.778, 0.500)
Sn (0.500, 0.500, 0.000)
Mg (0.324, 0.176, 0.000)
B (0.378, 0.878, 0.000)
Ir (0.778, 0.072, 0.500)
Ir (0.222, 0.928, 0.500)
Mg (0.176, 0.676, 0.000)
Mg (0.824, 0.324, 0.000)
Ir (0.722, 0.572, 0.500)
Mg (0.676, 0.824, 0.000)
Ir (0.572, 0.278, 0.500)
Sn (0.000, 0.000, 0.000)
B (0.622, 0.122, 0.000)
Ir (0.072, 0.222, 0.500)
Ir (0.278, 0.428, 0.500)
Ir (0.000, 0.500, 0.500)

Computed properties:
Space group ... P4/mbm, No. 127

=====

Record 2
YCd2Bi after structural relaxation, computed with GGA-PBE.

Cell lengths 5.311, 5.311, 5.311 Å; angles 60.00, 60.00, 60.00 degrees
Positions (direct):
Cd (0.000, 0.000, 0.000)
Bi (0.500, 0.500, 0.500)
Cd (0.750, 0.750, 0.750)
Y (0.250, 0.250, 0.250)

Computed properties:
Space group ... F-43m, No. 216

=====

Record 3
MgScCoSn after structural relaxation, computed with GGA-PBE.

Cell lengths 4.591, 4.591, 4.591 Å; angles 60.00, 60.00, 60.00 degrees
Positions (direct):
Sn (0.500, 0.500, 0.500)
Co (0.250, 0.250, 0.250)
Mg (0.750, 0.750, 0.750)
Sc (0.000, 0.000, 0.000)

Computed properties:
Energy above the lowest structure with this stoichiometry ... 0.0 meV/atom
Space group ... F-43m, No. 216

=====

Record 4
LuHfPbC after structural relaxation, computed with GGA-PBE.

Cell lengths 3.445, 3.445, 15.203 Å; angles 90.00, 90.00, 120.00 degrees
Positions (direct):
Lu (0.667, 0.333, 0.827)
C (0.000, 0.000, 0.263)
Hf (0.333, 0.667, 0.664)
Lu (0.667, 0.333, 0.173)
Pb (0.667, 0.333, 0.500)
Pb (0.333, 0.667, 0.000)
Hf (0.333, 0.667, 0.336)
C (0.000, 0.000, 0.737)

Computed properties:
Energy above the lowest structure with this stoichiometry ... 7.4 meV/atom
Space group ... P-6m2, No. 187

=====

Record 5
Al3Tc4B2 after structural relaxation, computed with GGA-PBE.

Cell lengths 6.046, 3.065, 6.319 Å; angles 90.00, 109.29, 90.00 degrees
Positions (direct):
Tc (0.093, 0.500, 0.219)
Al (0.000, 0.000, 0.500)
Tc (0.592, 0.500, 0.310)
B (0.352, 0.000, 0.401)
Tc (0.408, 0.500, 0.690)
Al (0.722, 0.000, 0.017)
Al (0.278, 0.000, 0.983)
Tc (0.907, 0.500, 0.781)
B (0.648, 0.000, 0.599)

Computed properties:
Space group ... P2/m, No. 10

=====

Record 6
YTmCS after structural relaxation, computed with GGA-PBE.

Cell lengths 3.677, 3.677, 12.797 Å; angles 90.00, 90.00, 120.00 degrees
Positions (direct):
Y (0.667, 0.333, 0.852)
Y (0.667, 0.333, 0.148)
C (0.000, 0.000, 0.254)
C (0.000, 0.000, 0.746)
S (0.333, 0.667, 0.000)
Tm (0.333, 0.667, 0.645)
S (0.667, 0.333, 0.500)
Tm (0.333, 0.667, 0.355)

Computed properties:
Space group ... P-6m2, No. 187

=====

Electronic total energy values, unit eV per atom, following the record order: -6.905 -3.249 -4.991 -7.458 -7.763 -7.355.
Magnetic moment values, unit μB per formula unit, following the record order: 0.0 0.0 0.0 0.0 0.0 0.0.